[1]
# Sm8PC3I4, optimized geometry, DFT PBE
# size of the total moment: 0.0 μB per formula unit
data_Sm8PC3I4
_chemical_formula_sum 'Sm8 P1 C3 I4'
_symmetry_space_group_name_H-M 'P 1'
_symmetry_Int_Tables_number 1
_symmetry_space_group_name_Hall 'P 1'
_cell_length_a 8.889
_cell_length_b 8.889
_cell_length_c 8.889
_cell_angle_alpha 52.58
_cell_angle_beta 52.58
_cell_angle_gamma 52.58
loop_
_atom_site_label
_atom_site_type_symbol
_atom_site_fract_x
_atom_site_fract_y
_atom_site_fract_z
Sm1 Sm 0.203 0.736 0.736
Sm2 Sm 0.224 0.224 0.224
Sm3 Sm 0.264 0.264 0.797
Sm4 Sm 0.264 0.797 0.264
Sm5 Sm 0.736 0.203 0.736
Sm6 Sm 0.736 0.736 0.203
Sm7 Sm 0.776 0.776 0.776
Sm8 Sm 0.797 0.264 0.264
P1 P 0.500 0.500 0.500
C1 C 0.000 0.000 0.500
C2 C 0.000 0.500 0.000
C3 C 0.500 0.000 0.000
I1 I 0.000 0.000 0.000
I2 I 0.000 0.500 0.500
I3 I 0.500 0.000 0.500
I4 I 0.500 0.500 0.000


[2]
# TePCI2, optimized geometry, DFT PBE
# size of the total moment: 0.0 μB per formula unit
data_TePCI2
_chemical_formula_sum 'Te1 P1 C1 I2'
_symmetry_space_group_name_H-M 'P 1'
_symmetry_Int_Tables_number 1
_symmetry_space_group_name_Hall 'P 1'
_cell_length_a 4.997
_cell_length_b 4.997
_cell_length_c 4.750
_cell_angle_alpha 90.00
_cell_angle_beta 90.00
_cell_angle_gamma 90.00
loop_
_atom_site_label
_atom_site_type_symbol
_atom_site_fract_x
_atom_site_fract_y
_atom_site_fract_z
Te1 Te 0.000 0.000 0.000
P1 P 0.500 0.500 0.000
C1 C 0.000 0.000 0.500
I1 I 0.000 0.500 0.500
I2 I 0.500 0.000 0.500


[3]
# TeP2CI, optimized geometry, DFT PBE
# size of the total moment: 0.8 μB per formula unit
data_TeP2CI
_chemical_formula_sum 'Te1 P2 C1 I1'
_symmetry_space_group_name_H-M 'P 1'
_symmetry_Int_Tables_number 1
_symmetry_space_group_name_Hall 'P 1'
_cell_length_a 5.237
_cell_length_b 5.237
_cell_length_c 5.941
_cell_angle_alpha 90.00
_cell_angle_beta 90.00
_cell_angle_gamma 90.00
loop_
_atom_site_label
_atom_site_type_symbol
_atom_site_fract_x
_atom_site_fract_y
_atom_site_fract_z
Te1 Te 0.000 0.000 0.000
P1 P 0.000 0.500 0.500
P2 P 0.500 0.000 0.500
C1 C 0.500 0.500 0.000
I1 I 0.000 0.000 0.500


[4]
# Te2PCI, optimized geometry, DFT PBE
# size of the total moment: 0.0 μB per formula unit
data_Te2PCI
_chemical_formula_sum 'Te2 P1 C1 I1'
_symmetry_space_group_name_H-M 'P 1'
_symmetry_Int_Tables_number 1
_symmetry_space_group_name_Hall 'P 1'
_cell_length_a 4.793
_cell_length_b 4.793
_cell_length_c 4.895
_cell_angle_alpha 90.00
_cell_angle_beta 90.00
_cell_angle_gamma 90.00
loop_
_atom_site_label
_atom_site_type_symbol
_atom_site_fract_x
_atom_site_fract_y
_atom_site_fract_z
Te1 Te 0.000 0.500 0.000
Te2 Te 0.500 0.000 0.000
P1 P 0.000 0.000 0.500
C1 C 0.500 0.500 0.000
I1 I 0.500 0.500 0.500


[5]
# YP2CI, optimized geometry, DFT PBE
# size of the total moment: 1.3 μB per formula unit
data_YP2CI
_chemical_formula_sum 'Y1 P2 C1 I1'
_symmetry_space_group_name_H-M 'P 1'
_symmetry_Int_Tables_number 1
_symmetry_space_group_name_Hall 'P 1'
_cell_length_a 5.344
_cell_length_b 5.344
_cell_length_c 6.070
_cell_angle_alpha 90.00
_cell_angle_beta 90.00
_cell_angle_gamma 90.00
loop_
_atom_site_label
_atom_site_type_symbol
_atom_site_fract_x
_atom_site_fract_y
_atom_site_fract_z
Y1 Y 0.000 0.000 0.000
P1 P 0.000 0.500 0.000
P2 P 0.500 0.000 0.000
C1 C 0.500 0.500 0.500
I1 I 0.000 0.000 0.500


[6]
# YPC2I, optimized geometry, DFT PBE
# size of the total moment: 0.0 μB per formula unit
data_YPC2I
_chemical_formula_sum 'Y1 P1 C2 I1'
_symmetry_space_group_name_H-M 'P 1'
_symmetry_Int_Tables_number 1
_symmetry_space_group_name_Hall 'P 1'
_cell_length_a 4.011
_cell_length_b 4.011
_cell_length_c 5.404
_cell_angle_alpha 90.00
_cell_angle_beta 90.00
_cell_angle_gamma 90.00
loop_
_atom_site_label
_atom_site_type_symbol
_atom_site_fract_x
_atom_site_fract_y
_atom_site_fract_z
Y1 Y 0.000 0.000 0.000
P1 P 0.500 0.500 0.500
C1 C 0.000 0.500 0.500
C2 C 0.500 0.000 0.500
I1 I 0.500 0.500 0.000


What are the energy relative to the elements, uncorrected values for these records? In order: -20.16; 34.30; 62.74; 32.03; 40.91; 33.49 kcal/mol of atoms.